Al2BrCl after structural relaxation, computed with GGA-PBE.

a b c (Å): 3.498 6.067 4.414
angles (deg): 90.00 90.00 90.00
Positions (direct):
Al1 0.000 0.000 0.000
Cl1 0.000 0.500 0.500
Al2 0.500 0.500 0.000
Br1 0.500 0.000 0.500

Computed properties:
Raw total energy (eV/cell): -11.647
Space group: Pmmm (47)
Fermi-level density of states (states/eV per cell): 0.81
Formation energy (no corrections) (eV per formula unit): -0.64
Crystal system: orthorhombic